Entry 1:
VASP calculation (PBE-GGA) on a geometry-optimized CeDy4Cd5 structure.

Cell: 3.7329 3.7329 19.0580 Å, 90.00 90.00 90.00°
Last column: nearest neighbours and their distance in Å.
Space group P4/mmm (No. 123)
Asymmetric unit:
Ce (0.0000, 0.0000, 0.0000) [1 per cell]  8 Cd 3.36, 4 Ce 3.73
Dy (0.0000, 0.0000, 0.2053) [2 per cell]  8 Cd 3.21-3.23
Dy (0.0000, 0.0000, 0.4018) [2 per cell]  8 Cd 3.24
Cd (0.5000, 0.5000, 0.1093) [2 per cell]  4 Dy 3.21, 4 Ce 3.36
Cd (0.5000, 0.5000, 0.3032) [2 per cell]  8 Dy 3.23-3.24
Cd (0.5000, 0.5000, 0.5000) [1 per cell]  8 Dy 3.24

Output
Final energy: -3.17 eV/atom
Calculated volume: 26.56 A^3/atom
Size of the total moment: 1.91 μB per formula unit


Entry 2:
VASP calculation (PBE-GGA) on a geometry-optimized La2ScTa structure.

Cell: 7.5365 7.5365 7.5365 Å, 90.00 90.00 90.00°
Last column: nearest neighbours and their distance in Å.
Space group Fm-3m (No. 225)
Asymmetric unit:
La (0.2500, 0.2500, 0.2500) [8 per cell]  4 Ta 3.26, 4 Sc 3.26
Sc (0.0000, 0.0000, 0.0000) [4 per cell]  8 La 3.26
Ta (0.0000, 0.0000, 0.5000) [4 per cell]  8 La 3.26

Output
Final energy: -6.62 eV/atom
Calculated volume: 26.75 A^3/atom
Size of the total moment: 0.00 μB per formula unit
Relative energy among the computed polymorphs: 121 meV/atom


Entry 3:
VASP calculation (PBE-GGA) on a geometry-optimized SiTePb2 structure.

Cell: 3.9356 5.2945 5.3258 Å, 90.00 90.00 90.00°
Last column: nearest neighbours and their distance in Å.
Space group Pmmm (No. 47)
Asymmetric unit:
Si (0.0000, 0.0000, 0.0000) [1 per cell]  4 Pb 3.30, 4 Te 3.31
Te (0.5000, 0.0000, 0.5000) [1 per cell]  4 Pb 3.30, 4 Si 3.31
Pb (0.0000, 0.5000, 0.5000) [1 per cell]  4 Te 3.30, 4 Pb 3.31
Pb (0.5000, 0.5000, 0.0000) [1 per cell]  4 Si 3.30, 4 Pb 3.31

Output
Final energy: -3.67 eV/atom
Calculated volume: 27.74 A^3/atom
Size of the total moment: 0.00 μB per formula unit
E_form (uncorrected): 0.32 eV/atom
Relative energy among the computed polymorphs: 154 meV/atom


Entry 4:
VASP calculation (PBE-GGA) on a geometry-optimized NaSnB structure.

Cell: 6.8378 5.1369 6.3726 Å, 90.00 90.00 90.00°
Last column: nearest neighbours and their distance in Å.
Space group Aem2 (No. 39)
Asymmetric unit:
Na (0.0000, 0.0000, 0.0000) [4 per cell]  2 Na 2.57, 2 B 2.76
Sn (0.3628, 0.2500, 0.2011) [4 per cell]  2 B 2.33-2.43
B (0.3168, 0.2500, 0.8235) [4 per cell]  2 Sn 2.33-2.43

Output
Final energy: -3.32 eV/atom
Calculated volume: 18.65 A^3/atom
Size of the total moment: 0.00 μB per formula unit


Repeat the third record exactly.
VASP calculation (PBE-GGA) on a geometry-optimized SiTePb2 structure.

Cell: 3.9356 5.2945 5.3258 Å, 90.00 90.00 90.00°
Last column: nearest neighbours and their distance in Å.
Space group Pmmm (No. 47)
Asymmetric unit:
Si (0.0000, 0.0000, 0.0000) [1 per cell]  4 Pb 3.30, 4 Te 3.31
Te (0.5000, 0.0000, 0.5000) [1 per cell]  4 Pb 3.30, 4 Si 3.31
Pb (0.0000, 0.5000, 0.5000) [1 per cell]  4 Te 3.30, 4 Pb 3.31
Pb (0.5000, 0.5000, 0.0000) [1 per cell]  4 Si 3.30, 4 Pb 3.31

Output
Final energy: -3.67 eV/atom
Calculated volume: 27.74 A^3/atom
Size of the total moment: 0.00 μB per formula unit
E_form (uncorrected): 0.32 eV/atom
Relative energy among the computed polymorphs: 154 meV/atom


Which value of final energy does entry 2 give?
-6.62 eV/atom


What is the formula in the fourth record?
NaSnB